VASP calculation (PBE) on crystalline Ta2Ti3Zn2 at its relaxed geometry.

Total DFT energy (no corrections), eV per atom: -7.077
Volume, Å³ per atom: 16.96
SG: Cmmm

Cell and atoms, written as POSCAR:
```
Ta2Ti3Zn2
1.0
-0.6616 -2.7171 -3.1459
1.7811 -1.8285 1.2047
-7.9240 -5.4021 3.5165
Ta Ti Zn
2 3 2
Direct
0.7098 0.5000 0.5805 Ta
0.2902 0.5000 0.4195 Ta
0.8604 0.0000 0.2793 Ti
0.0000 0.0000 0.0000 Ti
0.1396 0.0000 0.7207 Ti
0.5674 0.5000 0.8651 Zn
0.4326 0.5000 0.1349 Zn
```